# 1
Crystalline Fe3Pt4W at its relaxed geometry, computed with PBE-GGA.

a b c (Å): 2.784 3.893 22.165
angles (deg): 90.00 90.00 90.00
Space group Immm (No. 71)
Inequivalent atoms, fractional coordinates:
Fe1 0.000 0.000 0.000 x2
Fe2 0.000 0.500 0.158 x4
Pt1 0.000 0.500 0.283 x4
Pt2 0.000 0.500 0.404 x4
W1 0.000 0.000 0.500 x2

---

# 2
Crystalline Fe2PtW at its relaxed geometry, computed with PBE-GGA.

a b c (Å): 3.813 3.813 7.437
angles (deg): 90.00 90.00 90.00
Space group I4/mmm (No. 139)
Inequivalent atoms, fractional coordinates:
Fe1 0.000 0.500 0.250 x4
Pt1 0.000 0.000 0.000 x2
W1 0.000 0.000 0.500 x2

---

The records above give, respectively, total DFT energy (no corrections) values of -7.76 -9.03 eV per atom.
The records above give, respectively, formation enthalpy at 0 K values of 0.055 -0.048 eV/atom.